Entry from the Alexandria database: crystalline Ti2VH at its relaxed geometry (PBE-GGA).

SG: R-3m, No. 166
Size of the total moment: 0.00 Bohr magnetons per cell
DOS at the Fermi energy: 3.83 states/eV/f.u.
ΔE to the lowest computed polymorph: 147 meV/atom

The structure in POSCAR format:
```
Ti2VH
1.0
1.3841 0.7991 7.5358
-1.3841 0.7991 7.5358
0.0000 -1.5982 7.5358
Ti V H
2 1 1
Cartesian
0.0000 0.0000 2.4851
0.0000 0.0000 20.1222
0.0000 0.0000 0.0000
0.0000 0.0000 11.3036
```

=====

Entry from the Alexandria database: crystalline TbHo2TmSe5 at its relaxed geometry (PBE-GGA).

Formation energy without anion corrections: -1114 meV per atom
SG: P4/mmm, No. 123
Size of the total moment: 0.10 Bohr magnetons per cell
DOS at the Fermi energy: 5.25 states/eV/f.u.

The structure in POSCAR format:
```
TbHo2TmSe5
1.0
5.0888 0.0000 0.0000
0.0000 5.0888 0.0000
0.0000 0.0000 10.7114
Tb Ho Tm Se
1 2 1 5
Cartesian
0.0000 0.0000 0.0000
2.5444 2.5444 3.6506
2.5444 2.5444 7.0608
0.0000 0.0000 5.3557
0.0000 0.0000 2.6612
0.0000 0.0000 8.0502
0.0000 2.5444 5.3557
2.5444 0.0000 5.3557
2.5444 2.5444 0.0000
```

=====

Entry from the Alexandria database: crystalline YTaOs2 at its relaxed geometry (PBE-GGA).

Energy of formation: 207.8 meV/atom
SG: P4mm, No. 99
Size of the total moment: 0.00 Bohr magnetons per cell
DOS at the Fermi energy: 5.37 states/eV/f.u.

The structure in POSCAR format:
```
YTaOs2
1.0
2.8796 0.0000 0.0000
0.0000 2.8796 0.0000
0.0000 0.0000 8.8360
Y Ta Os
1 1 2
Cartesian
0.0000 0.0000 0.0000
1.4398 1.4398 6.1313
0.0000 0.0000 3.9820
1.4398 1.4398 2.3508
```

=====

Entry from the Alexandria database: crystalline GdTmTlPb at its relaxed geometry (PBE-GGA).

Energy of formation: -356.4 meV/atom
SG: F-43m, No. 216
Size of the total moment: 7.30 Bohr magnetons per cell
DOS at the Fermi energy: 3.53 states/eV/f.u.

The structure in POSCAR format:
```
GdTmTlPb
1.0
0.0000 3.8223 3.8223
3.8223 0.0000 3.8223
3.8223 3.8223 0.0000
Gd Tm Tl Pb
1 1 1 1
Cartesian
0.0000 0.0000 0.0000
3.8223 3.8223 3.8223
1.9112 1.9112 1.9112
5.7335 5.7335 5.7335
```

=====

Entry from the Alexandria database: crystalline Ca2NbMo at its relaxed geometry (PBE-GGA).

Energy of formation: 1252.9 meV/atom
SG: Fm-3m, No. 225
Size of the total moment: 3.01 Bohr magnetons per cell
DOS at the Fermi energy: 10.07 states/eV/f.u.
ΔE to the lowest computed polymorph: 0 meV/atom

The structure in POSCAR format:
```
Ca2NbMo
1.0
0.0000 3.6413 3.6413
3.6413 0.0000 3.6413
3.6413 3.6413 0.0000
Ca Nb Mo
2 1 1
Cartesian
1.8206 1.8206 1.8206
5.4619 5.4619 5.4619
0.0000 0.0000 0.0000
3.6413 3.6413 3.6413
```

=====

Entry from the Alexandria database: crystalline CuOsRu2 at its relaxed geometry (PBE-GGA).

Energy of formation: 209.6 meV/atom
SG: P2/m, No. 10
Size of the total moment: 0.00 Bohr magnetons per cell
DOS at the Fermi energy: 4.67 states/eV/f.u.

The structure in POSCAR format:
```
CuOsRu2
1.0
2.7220 0.0000 0.0000
0.0000 3.7881 0.0000
-0.0082 0.0000 5.2915
Cu Os Ru
1 1 2
Cartesian
0.0000 0.0000 0.0000
-0.0041 0.0000 2.6458
1.3602 1.8941 1.2951
1.3536 1.8941 3.9965
```

=====

Entry from the Alexandria database: crystalline Sb2AsPd6 at its relaxed geometry (PBE-GGA).

Formation energy without anion corrections: -401 meV per atom
SG: P-62m, No. 189
Size of the total moment: 0.00 Bohr magnetons per cell
DOS at the Fermi energy: 4.17 states/eV/f.u.

The structure in POSCAR format:
```
Sb2AsPd6
1.0
7.3766 0.0000 0.0000
-3.6883 6.3883 0.0000
0.0000 0.0000 3.2630
Sb As Pd
2 1 6
Cartesian
0.0000 4.2589 0.0000
3.6883 2.1294 0.0000
0.0000 0.0000 1.6315
-1.3709 2.3744 1.6315
-2.6623 4.6113 0.0000
1.0260 1.7770 0.0000
2.7417 0.0000 1.6315
2.3174 4.0139 1.6315
5.3246 0.0000 0.0000
```

=====

Entry from the Alexandria database: crystalline ZnCBr2 at its relaxed geometry (PBE-GGA).

Formation energy without anion corrections: 1304 meV per atom
SG: R-3m, No. 166
Size of the total moment: 0.00 Bohr magnetons per cell
DOS at the Fermi energy: 0.21 states/eV/f.u.
ΔE to the lowest computed polymorph: 181 meV/atom

The structure in POSCAR format:
```
ZnCBr2
1.0
1.7354 1.0019 9.7437
-1.7354 1.0019 9.7437
0.0000 -2.0038 9.7437
Zn C Br
1 1 2
Cartesian
0.0000 0.0000 0.0000
0.0000 0.0000 14.6156
0.0000 0.0000 3.4537
0.0000 0.0000 25.7776
```

=====

Entry from the Alexandria database: crystalline CsSnAsSe2 at its relaxed geometry (PBE-GGA).

Formation energy without anion corrections: -112 meV per atom
SG: P4/mmm, No. 123
Size of the total moment: 1.14 Bohr magnetons per cell
DOS at the Fermi energy: 3.67 states/eV/f.u.
ΔE to the lowest computed polymorph: 0 meV/atom

The structure in POSCAR format:
```
CsSnAsSe2
1.0
5.5610 0.0000 0.0000
0.0000 5.5610 0.0000
0.0000 0.0000 5.3815
Cs Sn As Se
1 1 1 2
Cartesian
0.0000 0.0000 0.0000
2.7805 2.7805 2.6907
2.7805 2.7805 0.0000
0.0000 2.7805 2.6907
2.7805 0.0000 2.6907
```

=====

Entry from the Alexandria database: crystalline Nd12Al3O5 at its relaxed geometry (PBE-GGA).

Formation energy without anion corrections: -1440 meV per atom
SG: Ia-3d, No. 230
Size of the total moment: 0.01 Bohr magnetons per cell
DOS at the Fermi energy: 17.04 states/eV/f.u.

The structure in POSCAR format:
```
Nd12Al3O5
1.0
-8.0033 8.0033 8.0033
8.0033 -8.0033 8.0033
8.0033 8.0033 -8.0033
Nd Al O
48 12 20
Cartesian
2.3743 -0.5983 0.8357
9.6307 4.8374 -4.6000
10.3776 0.5983 0.8357
9.6307 -3.1660 4.6000
7.4050 -0.8357 2.3743
12.6033 -1.6274 3.1660
0.8357 2.3743 -0.5983
11.1693 3.4034 -1.6274
4.8374 4.6000 -1.6274
7.1676 2.3743 0.5983
-0.5983 0.8357 2.3743
4.6000 -1.6274 4.8374
7.4050 7.1676 -2.3743
4.6000 1.6274 3.1660
4.8374 -4.6000 9.6307
7.1676 -2.3743 7.4050
3.1660 4.6000 1.6274
8.8390 5.6291 0.5983
4.6000 9.6307 -3.1660
7.4050 0.8357 5.6291
2.3743 7.4050 -0.8357
9.6307 3.1660 3.4034
1.6274 3.1660 4.6000
2.3743 0.5983 7.1676
5.6291 7.4050 0.8357
6.3759 4.8374 3.4034
-1.6274 4.8374 4.6000
5.6291 0.5983 8.8390
0.5983 7.1676 2.3743
3.4034 -1.6274 11.1693
-0.8357 2.3743 7.4050
4.8374 3.4034 6.3759
0.8357 10.3776 0.5983
3.1660 12.6033 -1.6274
3.4034 6.3759 4.8374
0.5983 0.8357 10.3776
3.4034 9.6307 3.1660
8.6016 7.1676 5.6291
0.8357 5.6291 7.4050
3.1660 3.4034 9.6307
-3.1660 4.6000 9.6307
7.1676 5.6291 8.6016
-4.6000 9.6307 4.8374
0.5983 8.8390 5.6291
-1.6274 11.1693 3.4034
-2.3743 7.4050 7.1676
-1.6274 3.1660 12.6033
5.6291 8.6016 7.1676
4.0017 2.0008 0.0000
8.0033 4.0017 -2.0008
2.0008 0.0000 4.0017
10.0042 0.0000 4.0017
0.0000 4.0017 2.0008
4.0017 -2.0008 8.0033
4.0017 10.0042 0.0000
8.0033 4.0017 6.0025
-2.0008 8.0033 4.0017
6.0025 8.0033 4.0017
0.0000 4.0017 10.0042
4.0017 6.0025 8.0033
0.0000 0.0000 0.0000
4.0017 4.0017 -4.0017
4.0017 -4.0017 4.0017
8.0033 0.0000 0.0000
12.0050 2.0008 0.0000
8.0033 -4.0017 6.0025
6.0025 8.0033 -4.0017
6.0025 0.0000 4.0017
4.0017 6.0025 0.0000
8.0033 4.0017 2.0008
-4.0017 4.0017 4.0017
0.0000 8.0033 0.0000
0.0000 0.0000 8.0033
4.0017 4.0017 4.0017
0.0000 4.0017 6.0025
4.0017 2.0008 8.0033
2.0008 8.0033 4.0017
2.0008 0.0000 12.0050
0.0000 12.0050 2.0008
-4.0017 6.0025 8.0033
```

=====

Entry from the Alexandria database: crystalline La14PmEr at its relaxed geometry (PBE-GGA).

Energy of formation: 8.2 meV/atom
SG: Amm2, No. 38
Size of the total moment: 0.00 Bohr magnetons per cell
DOS at the Fermi energy: 28.17 states/eV/f.u.

The structure in POSCAR format:
```
La14PmEr
1.0
10.5207 0.0000 0.0000
0.0000 5.2266 5.2283
0.0000 -5.2266 5.2283
La Pm Er
14 1 1
Cartesian
0.0000 0.0000 0.0000
0.0000 -2.6061 2.6135
0.0000 2.6061 2.6135
0.0000 0.0000 5.2271
2.6387 0.0000 7.8565
2.6550 0.0000 2.5986
2.6484 -2.6281 5.2275
2.6484 2.6281 5.2275
5.2604 -2.6068 7.8412
5.2604 2.6068 7.8412
7.8657 0.0000 2.5986
7.8723 -2.6281 5.2275
7.8723 2.6281 5.2275
7.8820 0.0000 7.8565
5.2604 0.0000 5.2288
5.2604 0.0000 10.4543
```

=====

Entry from the Alexandria database: crystalline Cs5K4Hg2 at its relaxed geometry (PBE-GGA).

Energy of formation: -77.7 meV/atom
SG: P2/m, No. 10
Size of the total moment: 0.00 Bohr magnetons per cell
DOS at the Fermi energy: 9.29 states/eV/f.u.

The structure in POSCAR format:
```
Cs5K4Hg2
1.0
11.6766 0.0000 0.0000
0.0000 5.0959 0.0000
-2.4329 0.0000 13.9939
Cs K Hg
5 4 2
Cartesian
0.0000 0.0000 0.0000
-0.1704 0.0000 4.8954
2.0826 0.0000 11.8691
7.1612 0.0000 2.1248
9.4141 0.0000 9.0985
3.2967 2.5479 2.8993
2.6434 2.5479 7.7803
6.6004 2.5479 6.2136
5.9470 2.5479 11.0946
4.0405 0.0000 5.4817
5.2032 0.0000 8.5122
```